DFT (PBE+U) results for a relaxed Mg6CoCO8 crystal.

- total energy (eV per cell) = -93.2

Lattice parameters (Å, degrees): 4.212 4.212 8.566 90.00 90.00 90.00
Space group P4/mmm (No. 123)
One atom of each set of equivalent atoms:
Mg  0.000  0.000  0.000 x1
Mg  0.000  0.500  0.254 x4
Mg  0.500  0.500  0.000 x1
Co  0.000  0.000  0.500 x1
C  0.500  0.500  0.500 x1
O  0.000  0.000  0.247 x2
O  0.000  0.500  0.000 x2
O  0.000  0.500  0.500 x2
O  0.500  0.500  0.252 x2